Entry 1:
VASP calculation (PBE) on crystalline Ce2CdGe3Rh4 at its relaxed geometry.

abc: 4.1032 4.1032 11.2223
angles: 90.00 90.00 90.00
Last column: nearest neighbours and their distance in Å.
Space group P-4m2 (No. 115)
One atom of each set of equivalent atoms:
1 Ce 0.0000 0.5000 0.2476 [2 per cell]  4 Rh 3.07, 4 Ge 3.23
2 Cd 0.0000 0.0000 0.5000 [1 per cell]  4 Rh 2.74, 4 Ge 2.90
3 Ge 0.0000 0.5000 0.8786 [2 per cell]  5 Rh 2.43-2.46
4 Ge 0.5000 0.5000 0.5000 [1 per cell]  4 Rh 2.74, 4 Cd 2.90
5 Rh 0.0000 0.0000 0.0000 [1 per cell]  4 Ge 2.46
6 Rh 0.0000 0.5000 0.6622 [2 per cell]  1 Ge 2.43
7 Rh 0.5000 0.5000 0.0000 [1 per cell]  4 Ge 2.46

Results
* calculated formation energy: -735.4 meV per atom

***

Entry 2:
VASP calculation (PBE) on crystalline Ce2CdGeRu at its relaxed geometry.

abc: 6.9899 4.5183 8.1045
angles: 90.00 108.89 90.00
Last column: nearest neighbours and their distance in Å.
Space group P2_1/m (No. 11)
One atom of each set of equivalent atoms:
1 Ce 0.1812 0.2500 0.3577 [2 per cell]  3 Ge 3.07-3.13, 2 Ru 3.13, 3 Cd 3.26-3.36
2 Ce 0.2621 0.2500 0.9455 [2 per cell]  1 Ru 2.52
3 Cd 0.3072 0.7500 0.6638 [2 per cell]  2 Ge 2.78
4 Ge 0.4493 0.7500 0.2969 [2 per cell]  1 Ru 2.48
5 Ru 0.1062 0.7500 0.0772 [2 per cell]  1 Ge 2.48, 1 Ce 2.52, 2 Ru 2.77

Results
* calculated formation energy: -361.1 meV per atom

***

Entry 3:
VASP calculation (PBE) on crystalline CeScCdGe at its relaxed geometry.

abc: 7.1785 7.1785 7.1785
angles: 90.00 90.00 90.00
Last column: nearest neighbours and their distance in Å.
Space group F-43m (No. 216)
One atom of each set of equivalent atoms:
1 Ce 0.0000 0.0000 0.0000 [4 per cell]  4 Ge 3.11, 4 Cd 3.11
2 Sc 0.0000 0.0000 0.5000 [4 per cell]  4 Ge 3.11, 4 Cd 3.11
3 Cd 0.2500 0.2500 0.2500 [4 per cell]  4 Ce 3.11, 4 Sc 3.11
4 Ge 0.2500 0.2500 0.7500 [4 per cell]  4 Ce 3.11, 4 Sc 3.11

Results
* calculated formation energy: -393.3 meV per atom

***

Entry 4:
VASP calculation (PBE) on crystalline CeCd2SnGe at its relaxed geometry.

abc: 4.2273 16.2629 7.7897
angles: 90.00 90.00 90.00
Last column: nearest neighbours and their distance in Å.
Space group Cmcm (No. 63)
One atom of each set of equivalent atoms:
1 Ce 0.0000 0.1013 0.2500 [4 per cell]  2 Ge 3.25, 4 Sn 3.31, 4 Cd 3.45
2 Cd 0.0000 0.3247 0.0648 [8 per cell]  3 Ge 2.76-2.81, 1 Cd 2.89, 1 Sn 2.90
3 Sn 0.0000 0.5000 0.0000 [4 per cell]  2 Cd 2.90
4 Ge 0.0000 0.2466 0.7500 [4 per cell]  6 Cd 2.76-2.81

Results
* calculated formation energy: -138.4 meV per atom

***

Entry 5:
VASP calculation (PBE) on crystalline SrCeCdGe at its relaxed geometry.

abc: 7.6618 7.6618 7.6618
angles: 90.00 90.00 90.00
Last column: nearest neighbours and their distance in Å.
Space group F-43m (No. 216)
One atom of each set of equivalent atoms:
1 Sr 0.0000 0.0000 0.0000 [4 per cell]  4 Ge 3.32, 4 Cd 3.32
2 Ce 0.0000 0.0000 0.5000 [4 per cell]  4 Cd 3.32, 4 Ge 3.32
3 Cd 0.2500 0.2500 0.2500 [4 per cell]  4 Ce 3.32, 4 Sr 3.32
4 Ge 0.2500 0.2500 0.7500 [4 per cell]  4 Ce 3.32, 4 Sr 3.32

Results
* calculated formation energy: -333.0 meV per atom

***

Entry 6:
VASP calculation (PBE) on crystalline TbCeCdGe at its relaxed geometry.

abc: 7.3764 7.3764 7.3764
angles: 90.00 90.00 90.00
Last column: nearest neighbours and their distance in Å.
Space group F-43m (No. 216)
One atom of each set of equivalent atoms:
1 Tb 0.0000 0.0000 0.0000 [4 per cell]  4 Ge 3.19, 4 Cd 3.19
2 Ce 0.0000 0.0000 0.5000 [4 per cell]  4 Ge 3.19, 4 Cd 3.19
3 Cd 0.2500 0.2500 0.2500 [4 per cell]  4 Tb 3.19, 4 Ce 3.19
4 Ge 0.2500 0.2500 0.7500 [4 per cell]  4 Tb 3.19, 4 Ce 3.19

Results
* calculated formation energy: -419.3 meV per atom

***

Entry 7:
VASP calculation (PBE) on crystalline CeZnCdGe at its relaxed geometry.

abc: 6.9810 6.9810 6.9810
angles: 90.00 90.00 90.00
Last column: nearest neighbours and their distance in Å.
Space group F-43m (No. 216)
One atom of each set of equivalent atoms:
1 Ce 0.0000 0.0000 0.0000 [4 per cell]  4 Ge 3.02, 4 Zn 3.02
2 Zn 0.2500 0.2500 0.2500 [4 per cell]  4 Cd 3.02, 4 Ce 3.02
3 Cd 0.0000 0.0000 0.5000 [4 per cell]  4 Zn 3.02, 4 Ge 3.02
4 Ge 0.2500 0.2500 0.7500 [4 per cell]  4 Cd 3.02, 4 Ce 3.02

Results
* calculated formation energy: -285.2 meV per atom

***

Entry 8:
VASP calculation (PBE) on crystalline Ce3CdH3 at its relaxed geometry.

abc: 6.4276 6.4276 6.4276
angles: 90.00 90.00 90.00
Last column: nearest neighbours and their distance in Å.
Space group Pm-3n (No. 223)
One atom of each set of equivalent atoms:
1 Ce 0.0000 0.2500 0.5000 [6 per cell]  4 H 2.27
2 Cd 0.0000 0.0000 0.0000 [2 per cell]  12 H 3.59, 12 Ce 3.59
3 H 0.0000 0.5000 0.2500 [6 per cell]  4 Ce 2.27

***

no.,calculated total energy (eV per atom),M_tot (Bohr magnetons per cell)
1,-6.339,0.9
2,-5.696,2.1
3,-4.843,3.7
4,-3.415,4.1
5,-3.620,5.2
6,-4.443,3.9
7,-3.470,0.7
8,-4.389,6.9